A plane-wave DFT calculation with GGA-PBEsol was carried out for Zn4Re after structural relaxation.

The calculation puts the formation energy at 0.52 eV/atom.

Lattice parameters (Å, degrees): 6.4244 6.4244 6.4244 148.79 148.79 44.72
Atoms (fractional coordinates):
Zn (0.0969, 0.0969, 0.0000)
Zn (0.2500, 0.7500, 0.5000)
Zn (0.7500, 0.2500, 0.5000)
Zn (0.9031, 0.9031, 0.0000)
Re (0.5000, 0.5000, 0.0000)


A plane-wave DFT calculation with GGA-PBEsol was carried out for LiAgF4 after structural relaxation.

The formation energy (no corrections) is -1.714 eV/atom.

Lattice parameters (Å, degrees): 4.7238 11.1185 5.4808 90.00 90.00 90.00
Atoms (fractional coordinates):
Li (0.0000, 0.0663, 0.2500)
Li (0.0000, 0.9337, 0.7500)
Li (0.5000, 0.4337, 0.7500)
Li (0.5000, 0.5663, 0.2500)
Ag (0.0000, 0.3344, 0.2500)
Ag (0.0000, 0.6656, 0.7500)
Ag (0.5000, 0.1656, 0.7500)
Ag (0.5000, 0.8344, 0.2500)
F (0.2246, 0.2044, 0.1193)
F (0.2246, 0.7956, 0.6193)
F (0.2492, 0.0480, 0.5975)
F (0.2492, 0.9520, 0.0975)
F (0.2508, 0.4520, 0.0975)
F (0.2508, 0.5480, 0.5975)
F (0.2754, 0.2956, 0.6193)
F (0.2754, 0.7044, 0.1193)
F (0.7246, 0.2956, 0.8807)
F (0.7246, 0.7044, 0.3807)
F (0.7492, 0.4520, 0.4025)
F (0.7492, 0.5480, 0.9025)
F (0.7508, 0.0480, 0.9025)
F (0.7508, 0.9520, 0.4025)
F (0.7754, 0.2044, 0.3807)
F (0.7754, 0.7956, 0.8807)


A plane-wave DFT calculation with GGA-PBEsol was carried out for Sc2ZnSe after structural relaxation.

The formation energy (no corrections) is -0.732 eV/atom.

Lattice parameters (Å, degrees): 4.7478 4.7478 3.3029 90.08 90.08 100.93
Atoms (fractional coordinates):
Sc (0.0000, 0.5000, 0.0000)
Sc (0.5000, 0.0000, 0.0000)
Zn (0.0000, 0.0000, 0.5000)
Se (0.5000, 0.5000, 0.5000)


A plane-wave DFT calculation with GGA-PBEsol was carried out for VCl3O after structural relaxation.

The formation energy (no corrections) is -1.396 eV/atom.

Lattice parameters (Å, degrees): 4.7790 9.6473 11.8281 90.00 90.00 90.00
Atoms (fractional coordinates):
V (0.1434, 0.2500, 0.0427)
V (0.3566, 0.7500, 0.5427)
V (0.6434, 0.2500, 0.4573)
V (0.8566, 0.7500, 0.9573)
Cl (0.2255, 0.5669, 0.6277)
Cl (0.2255, 0.9331, 0.6277)
Cl (0.2342, 0.7500, 0.3699)
Cl (0.2658, 0.2500, 0.8699)
Cl (0.2745, 0.0669, 0.1277)
Cl (0.2745, 0.4331, 0.1277)
Cl (0.7255, 0.5669, 0.8723)
Cl (0.7255, 0.9331, 0.8723)
Cl (0.7342, 0.7500, 0.1301)
Cl (0.7658, 0.2500, 0.6301)
Cl (0.7745, 0.0669, 0.3723)
Cl (0.7745, 0.4331, 0.3723)
O (0.1871, 0.7500, 0.9550)
O (0.3129, 0.2500, 0.4550)
O (0.6871, 0.7500, 0.5450)
O (0.8129, 0.2500, 0.0450)